1.
4
Lattice="-0.314 -0.617 -4.317 3.604 -0.691 -2.378 0.770 -3.952 -1.705" Properties=species:S:1:pos:R:3 comment="ZnTcIrW, relaxed, DFT PBE" rho_g_cm3=15.15 energy_ev_per_cell=-33.90 dos_at_fermi_per_ev_fu=1.19 pbc="T T T"
Zn 1.015 -1.315 -2.100
W 3.045 -3.945 -6.300
Ir 0.000 0.000 0.000
Tc 2.030 -2.630 -4.200

---

2.
10
Lattice="-5.811 -5.950 -1.604 -1.539 -0.734 8.297 -2.960 2.969 -0.286" Properties=species:S:1:pos:R:3 comment="Y2InBi2, relaxed, DFT PBE" rho_g_cm3=7.83 de_polymorph_ev_per_atom=0.009 dos_at_fermi_per_ev_fu=3.98 pbc="T T T"
Y -5.948 -5.545 4.010
In -3.675 -3.342 3.346
Bi -3.416 0.056 5.068
Y -3.994 -3.964 0.189
Bi -3.707 -0.663 0.627
Y -3.356 -2.720 6.504
In 0.000 0.000 0.000
Y -1.402 -1.139 2.682
Bi -6.603 -3.053 5.779
Bi -6.894 -3.771 1.338

---

3.
5
Lattice="4.583 0.000 0.000 0.000 4.583 0.000 0.000 0.000 4.583" Properties=species:S:1:pos:R:3 comment="MgFe3Os, relaxed, DFT PBE" rho_g_cm3=6.59 de_polymorph_ev_per_atom=0.000 dos_at_fermi_per_ev_fu=7.34 pbc="T T T"
Fe 0.000 2.291 0.000
Fe 2.291 0.000 0.000
Os 0.000 0.000 0.000
Mg 2.291 2.291 2.291
Fe 0.000 0.000 2.291

---

4.
6
Lattice="-0.418 -5.000 0.876 2.183 -3.333 -3.173 4.066 -2.669 1.512" Properties=species:S:1:pos:R:3 comment="PaV4Cr, relaxed, DFT PBE" rho_g_cm3=8.65 energy_ev_per_cell=-54.06 dos_at_fermi_per_ev_fu=9.90 pbc="T T T"
V 3.646 -6.880 -0.491
V 2.552 -5.209 1.100
Pa 0.000 0.000 0.000
V 1.608 -5.542 -1.249
Cr 1.458 -2.750 -0.196
V 3.856 -4.373 -0.930

---

5.
19
Lattice="-0.242 5.718 -3.598 -3.908 1.741 5.234 6.106 0.650 2.827" Properties=species:S:1:pos:R:3 comment="Bi6OsO12, relaxed, DFT PBE" rho_g_cm3=9.28 energy_ev_per_cell=-116.50 dos_at_fermi_per_ev_fu=5.39 pbc="T T T"
O -1.189 3.574 1.910
Bi -1.017 5.768 3.103
Bi 2.973 2.341 1.360
Bi 2.484 6.055 1.047
Bi -0.421 3.996 -0.159
O -2.083 2.298 5.680
O 0.166 4.286 4.310
Bi 2.378 4.113 4.622
O 1.791 3.822 0.154
Os 0.000 0.000 0.000
O 5.627 2.407 2.103
O 4.039 5.810 -1.217
O 0.251 5.943 1.264
Bi -0.528 2.053 3.417
O 1.706 2.166 3.199
O 2.883 1.965 6.275
O -0.927 6.144 -1.812
O -3.671 5.701 2.360
O 3.146 4.534 2.553

---

6.
7
Lattice="-2.198 -2.291 1.032 2.000 -0.753 2.588 -9.607 13.327 9.125" Properties=species:S:1:pos:R:3 comment="SnHg2Bi4, relaxed, DFT PBE" rho_g_cm3=10.74 energy_ev_per_cell=-19.31 dos_at_fermi_per_ev_fu=3.94 pbc="T T T"
Bi -7.485 9.592 10.751
Bi -1.559 3.475 4.392
Sn 1.000 -0.376 1.294
Hg -4.812 4.442 5.011
Bi -6.047 9.100 7.320
Hg -4.992 5.842 7.734
Bi -2.319 0.691 1.994

---

7.
3
Lattice="7.361 0.035 -0.028 5.965 3.688 -0.065 1.395 -0.797 3.565" Properties=species:S:1:pos:R:3 comment="InBrCl, relaxed, DFT PBE" rho_g_cm3=3.98 energy_ev_per_cell=-7.94 dos_at_fermi_per_ev_fu=1.17 pbc="T T T"
In 9.413 2.240 1.107
Br 1.865 -0.619 3.422
Cl 4.840 0.508 2.509

---

8.
5
Lattice="5.196 0.000 0.000 0.000 5.196 0.000 0.000 0.000 5.035" Properties=species:S:1:pos:R:3 comment="La2CoSnHg, relaxed, DFT PBE" rho_g_cm3=8.01 de_polymorph_ev_per_atom=0.042 dos_at_fermi_per_ev_fu=3.10 pbc="T T T"
La 2.598 0.000 0.000
Hg 0.000 0.000 2.518
La 0.000 2.598 0.000
Sn 2.598 2.598 2.518
Co 0.000 0.000 0.000

---

Number 1: total magnetic moment 0.00 μB per atom. Number 2: total magnetic moment 0.00 μB per atom. Number 3: total magnetic moment 1.52 μB per atom. Number 4: total magnetic moment 0.15 μB per atom. Number 5: total magnetic moment 0.11 μB per atom. Number 6: total magnetic moment 0.00 μB per atom. Number 7: total magnetic moment 0.00 μB per atom. Number 8: total magnetic moment 0.00 μB per atom.